# 1
Computed, not measured: a geometry-optimized Pr4DyTm2Sc structure at the PBE level of DFT.

Raw total energy ... -38.8 eV per cell
V ... 32.395 Å³/atom
Crystal system ... orthorhombic

Cell: 5.132 5.143 9.819 Å, 90.00 90.00 90.00°
Fractional positions:
Pr: 0.000 0.000 0.245
Pr: 0.000 0.000 0.755
Pr: 0.500 0.500 0.245
Pr: 0.500 0.500 0.755
Dy: 0.000 0.500 0.500
Tm: 0.000 0.500 0.000
Tm: 0.500 0.000 0.500
Sc: 0.500 0.000 0.000



# 2
Computed, not measured: a geometry-optimized PrDyTmSc structure at the PBE level of DFT.

Excess energy over the best structure of this formula in the dataset ... 0.00 eV per formula unit
Raw total energy ... -59.8 eV per cell
V ... 30.444 Å³/atom
Crystal system ... trigonal

Cell: 3.525 3.525 33.946 Å, 90.00 90.00 120.00°
Fractional positions:
Pr: 0.000 0.000 0.000
Pr: 0.333 0.667 0.667
Pr: 0.667 0.333 0.333
Dy: 0.000 0.000 0.171
Dy: 0.333 0.667 0.838
Dy: 0.667 0.333 0.504
Tm: 0.000 0.000 0.754
Tm: 0.333 0.667 0.421
Tm: 0.667 0.333 0.088
Sc: 0.000 0.000 0.583
Sc: 0.333 0.667 0.250
Sc: 0.667 0.333 0.917



# 3
Computed, not measured: a geometry-optimized Pr2Dy6Tm3Sc structure at the PBE level of DFT.

Raw total energy ... -56.6 eV per cell
V ... 31.189 Å³/atom
Crystal system ... monoclinic

Cell: 6.115 6.115 11.733 Å, 94.97 94.97 119.99°
Fractional positions:
Pr: 0.166 0.834 0.000
Pr: 0.834 0.166 0.000
Dy: 0.086 0.416 0.747
Dy: 0.254 0.254 0.253
Dy: 0.416 0.086 0.747
Dy: 0.584 0.914 0.253
Dy: 0.746 0.746 0.747
Dy: 0.914 0.584 0.253
Tm: 0.000 0.000 0.500
Tm: 0.334 0.666 0.500
Tm: 0.666 0.334 0.500
Sc: 0.500 0.500 0.000



# 4
Computed, not measured: a geometry-optimized PrDyTm2Sc2 structure at the PBE level of DFT.

Raw total energy ... -58.6 eV per cell
V ... 30.277 Å³/atom
Crystal system ... orthorhombic

Cell: 6.266 17.359 3.340 Å, 90.00 90.00 90.00°
Fractional positions:
Pr: 0.000 0.000 0.000
Pr: 0.500 0.500 0.500
Dy: 0.000 0.500 0.000
Dy: 0.500 0.000 0.500
Tm: 0.218 0.192 0.000
Tm: 0.282 0.692 0.500
Tm: 0.718 0.308 0.500
Tm: 0.782 0.808 0.000
Sc: 0.215 0.353 0.500
Sc: 0.285 0.853 0.000
Sc: 0.715 0.147 0.000
Sc: 0.785 0.647 0.500



# 5
Computed, not measured: a geometry-optimized PrDy2TmSc structure at the PBE level of DFT.

Raw total energy ... -45.8 eV per cell
V ... 32.093 Å³/atom
Crystal system ... orthorhombic

Cell: 8.594 8.594 6.336 Å, 90.00 90.00 136.69°
Fractional positions:
Pr: 0.163 0.837 0.750
Pr: 0.837 0.163 0.250
Dy: 0.252 0.252 0.000
Dy: 0.252 0.252 0.500
Dy: 0.748 0.748 0.000
Dy: 0.748 0.748 0.500
Tm: 0.251 0.749 0.250
Tm: 0.749 0.251 0.750
Sc: 0.346 0.654 0.750
Sc: 0.654 0.346 0.250



# 6
Computed, not measured: a geometry-optimized Pr3Dy2Y6Sc structure at the PBE level of DFT.

Raw total energy ... -68.3 eV per cell
V ... 32.368 Å³/atom
Crystal system ... monoclinic

Cell: 6.206 6.206 11.824 Å, 95.01 95.01 119.98°
Fractional positions:
Pr: 0.000 0.000 0.000
Pr: 0.334 0.666 0.000
Pr: 0.666 0.334 0.000
Dy: 0.166 0.834 0.500
Dy: 0.834 0.166 0.500
Y: 0.089 0.419 0.257
Y: 0.250 0.250 0.743
Y: 0.419 0.089 0.257
Y: 0.581 0.911 0.743
Y: 0.750 0.750 0.257
Y: 0.911 0.581 0.743
Sc: 0.500 0.500 0.500



# 7
Computed, not measured: a geometry-optimized Pr3DyY6Sc2 structure at the PBE level of DFT.

Raw total energy ... -69.9 eV per cell
V ... 31.802 Å³/atom
Crystal system ... monoclinic

Cell: 6.175 6.175 11.739 Å, 95.03 95.03 120.01°
Fractional positions:
Pr: 0.000 0.000 0.000
Pr: 0.333 0.667 0.000
Pr: 0.667 0.333 0.000
Dy: 0.500 0.500 0.500
Y: 0.084 0.420 0.260
Y: 0.244 0.244 0.740
Y: 0.420 0.084 0.260
Y: 0.580 0.916 0.740
Y: 0.756 0.756 0.260
Y: 0.916 0.580 0.740
Sc: 0.167 0.833 0.500
Sc: 0.833 0.167 0.500



# 8
Computed, not measured: a geometry-optimized PrDy2Y6Sc3 structure at the PBE level of DFT.

Raw total energy ... -71.1 eV per cell
V ... 30.438 Å³/atom
Crystal system ... monoclinic

Cell: 6.089 6.089 11.552 Å, 95.04 95.04 119.98°
Fractional positions:
Pr: 0.000 0.000 0.000
Dy: 0.333 0.667 0.000
Dy: 0.667 0.333 0.000
Y: 0.087 0.421 0.260
Y: 0.247 0.247 0.739
Y: 0.421 0.087 0.260
Y: 0.579 0.913 0.740
Y: 0.753 0.753 0.261
Y: 0.913 0.579 0.740
Sc: 0.167 0.833 0.500
Sc: 0.500 0.500 0.500
Sc: 0.833 0.167 0.500



# 9
Computed, not measured: a geometry-optimized Pr2Dy2Y4Sc structure at the PBE level of DFT.

Raw total energy ... -50.8 eV per cell
V ... 32.091 Å³/atom
Crystal system ... monoclinic

Cell: 9.480 9.480 9.544 Å, 115.01 115.01 21.90°
Fractional positions:
Pr: 0.163 0.163 0.497
Pr: 0.837 0.837 0.503
Dy: 0.353 0.353 0.837
Dy: 0.647 0.647 0.163
Y: 0.020 0.020 0.831
Y: 0.315 0.315 0.166
Y: 0.685 0.685 0.834
Y: 0.980 0.980 0.169
Sc: 0.500 0.500 0.500



# 10
Computed, not measured: a geometry-optimized Pr2Dy6Y3Sc structure at the PBE level of DFT.

Raw total energy ... -62.6 eV per cell
V ... 31.764 Å³/atom
Crystal system ... monoclinic

Cell: 6.152 6.152 11.805 Å, 94.97 94.97 119.98°
Fractional positions:
Pr: 0.166 0.834 0.000
Pr: 0.834 0.166 0.000
Dy: 0.087 0.417 0.750
Dy: 0.253 0.253 0.251
Dy: 0.417 0.087 0.750
Dy: 0.583 0.913 0.250
Dy: 0.747 0.747 0.749
Dy: 0.913 0.583 0.250
Y: 0.000 0.000 0.500
Y: 0.334 0.666 0.500
Y: 0.666 0.334 0.500
Sc: 0.500 0.500 0.000



# 11
Computed, not measured: a geometry-optimized PrDyY2Sc4 structure at the PBE level of DFT.

Raw total energy ... -88.3 eV per cell
V ... 29.533 Å³/atom
Crystal system ... orthorhombic

Cell: 9.119 9.119 9.119 Å, 137.76 103.10 91.89°
Fractional positions:
Pr: 0.500 0.000 0.000
Pr: 0.500 0.500 0.500
Dy: 0.000 0.000 0.000
Dy: 0.500 0.000 0.500
Y: 0.000 0.000 0.500
Y: 0.000 0.500 0.000
Y: 0.000 0.500 0.500
Y: 0.500 0.500 0.000
Sc: 0.249 0.247 0.498
Sc: 0.249 0.249 0.000
Sc: 0.249 0.751 0.002
Sc: 0.251 0.751 0.500
Sc: 0.749 0.249 0.500
Sc: 0.751 0.249 0.998
Sc: 0.751 0.751 0.000
Sc: 0.751 0.753 0.502



# 12
Computed, not measured: a geometry-optimized PrDy5Y2Sc structure at the PBE level of DFT.

Raw total energy ... -91.0 eV per cell
V ... 31.907 Å³/atom
Crystal system ... orthorhombic

Cell: 10.238 10.238 10.411 Å, 90.00 90.00 148.24°
Fractional positions:
Pr: 0.086 0.914 0.500
Pr: 0.914 0.086 0.000
Dy: 0.019 0.981 0.784
Dy: 0.123 0.877 0.065
Dy: 0.202 0.798 0.750
Dy: 0.222 0.778 0.366
Dy: 0.480 0.520 0.066
Dy: 0.520 0.480 0.566
Dy: 0.778 0.222 0.866
Dy: 0.798 0.202 0.250
Dy: 0.877 0.123 0.565
Dy: 0.981 0.019 0.284
Y: 0.386 0.614 0.779
Y: 0.389 0.611 0.361
Y: 0.611 0.389 0.861
Y: 0.614 0.386 0.279
Sc: 0.303 0.697 0.059
Sc: 0.697 0.303 0.559



# 13
Computed, not measured: a geometry-optimized Pr2DyY2Sc structure at the PBE level of DFT.

Raw total energy ... -66.3 eV per cell
V ... 32.407 Å³/atom
Crystal system ... orthorhombic

Cell: 5.686 10.871 6.291 Å, 90.00 90.00 90.00°
Fractional positions:
Pr: 0.000 0.082 0.000
Pr: 0.000 0.918 0.500
Pr: 0.500 0.259 0.168
Pr: 0.500 0.741 0.668
Dy: 0.000 0.257 0.503
Dy: 0.000 0.743 0.003
Y: 0.000 0.423 0.984
Y: 0.000 0.577 0.484
Y: 0.500 0.091 0.667
Y: 0.500 0.909 0.167
Sc: 0.500 0.420 0.660
Sc: 0.500 0.580 0.160



# 14
Computed, not measured: a geometry-optimized Pr2Dy4YSc structure at the PBE level of DFT.

Raw total energy ... -40.5 eV per cell
V ... 31.803 Å³/atom
Crystal system ... tetragonal

Cell: 5.043 5.043 10.002 Å, 90.00 90.00 90.00°
Fractional positions:
Pr: 0.000 0.000 0.000
Pr: 0.500 0.500 0.500
Dy: 0.000 0.500 0.245
Dy: 0.000 0.500 0.755
Dy: 0.500 0.000 0.245
Dy: 0.500 0.000 0.755
Y: 0.000 0.000 0.500
Sc: 0.500 0.500 0.000



# 15
Computed, not measured: a geometry-optimized PrDy2YSc4 structure at the PBE level of DFT.

Raw total energy ... -45.3 eV per cell
V ... 28.397 Å³/atom
Crystal system ... tetragonal

Cell: 4.948 4.948 9.278 Å, 90.00 90.00 90.00°
Fractional positions:
Pr: 0.000 0.000 0.000
Dy: 0.000 0.000 0.500
Dy: 0.500 0.500 0.000
Y: 0.500 0.500 0.500
Sc: 0.000 0.500 0.251
Sc: 0.000 0.500 0.749
Sc: 0.500 0.000 0.251
Sc: 0.500 0.000 0.749



# 16
Computed, not measured: a geometry-optimized Pr5Dy2YSc structure at the PBE level of DFT.

Raw total energy ... -89.6 eV per cell
V ... 34.169 Å³/atom
Crystal system ... orthorhombic

Cell: 11.336 11.336 10.309 Å, 90.00 90.00 152.34°
Fractional positions:
Pr: 0.000 0.000 0.000
Pr: 0.000 0.000 0.500
Pr: 0.127 0.873 0.750
Pr: 0.222 0.778 0.061
Pr: 0.222 0.778 0.437
Pr: 0.499 0.501 0.250
Pr: 0.501 0.499 0.750
Pr: 0.778 0.222 0.561
Pr: 0.778 0.222 0.937
Pr: 0.873 0.127 0.250
Dy: 0.384 0.616 0.997
Dy: 0.385 0.615 0.502
Dy: 0.615 0.385 0.002
Dy: 0.616 0.384 0.497
Y: 0.102 0.898 0.250
Y: 0.898 0.102 0.750
Sc: 0.288 0.712 0.749
Sc: 0.712 0.288 0.249



# 17
Computed, not measured: a geometry-optimized Pr3Dy6Y2Sc structure at the PBE level of DFT.

Raw total energy ... -60.8 eV per cell
V ... 32.147 Å³/atom
Crystal system ... monoclinic

Cell: 6.189 6.189 11.809 Å, 95.01 95.01 120.00°
Fractional positions:
Pr: 0.000 0.000 0.000
Pr: 0.333 0.667 0.000
Pr: 0.667 0.333 0.000
Dy: 0.089 0.419 0.257
Dy: 0.251 0.251 0.744
Dy: 0.419 0.089 0.257
Dy: 0.581 0.911 0.743
Dy: 0.749 0.749 0.256
Dy: 0.911 0.581 0.743
Y: 0.166 0.834 0.500
Y: 0.834 0.166 0.500
Sc: 0.500 0.500 0.500



# 18
Computed, not measured: a geometry-optimized Pr6Dy2Y3Sc structure at the PBE level of DFT.

Raw total energy ... -63.3 eV per cell
V ... 33.156 Å³/atom
Crystal system ... monoclinic

Cell: 6.284 6.284 11.821 Å, 95.08 95.08 119.99°
Fractional positions:
Pr: 0.082 0.412 0.246
Pr: 0.249 0.249 0.753
Pr: 0.412 0.082 0.246
Pr: 0.588 0.918 0.754
Pr: 0.751 0.751 0.247
Pr: 0.918 0.588 0.754
Dy: 0.333 0.667 0.000
Dy: 0.667 0.333 0.000
Y: 0.167 0.833 0.500
Y: 0.500 0.500 0.500
Y: 0.833 0.167 0.500
Sc: 0.000 0.000 0.000



# 19
Computed, not measured: a geometry-optimized Pr2DyY4Sc structure at the PBE level of DFT.

Raw total energy ... -46.0 eV per cell
V ... 32.097 Å³/atom
Crystal system ... tetragonal

Cell: 5.056 5.056 10.046 Å, 90.00 90.00 90.00°
Fractional positions:
Pr: 0.000 0.000 0.000
Pr: 0.500 0.500 0.500
Dy: 0.000 0.000 0.500
Y: 0.000 0.500 0.245
Y: 0.000 0.500 0.755
Y: 0.500 0.000 0.245
Y: 0.500 0.000 0.755
Sc: 0.500 0.500 0.000



# 20
Computed, not measured: a geometry-optimized PrDy4Y2Sc structure at the PBE level of DFT.

Raw total energy ... -78.0 eV per cell
V ... 32.344 Å³/atom
Crystal system ... monoclinic

Cell: 9.404 9.404 6.763 Å, 111.06 111.06 88.31°
Fractional positions:
Pr: 0.000 0.500 0.000
Pr: 0.500 0.000 0.500
Dy: 0.235 0.237 0.984
Dy: 0.237 0.235 0.484
Dy: 0.238 0.761 0.001
Dy: 0.239 0.762 0.499
Dy: 0.761 0.238 0.501
Dy: 0.762 0.239 0.999
Dy: 0.763 0.765 0.516
Dy: 0.765 0.763 0.016
Y: 0.000 0.500 0.500
Y: 0.500 0.000 0.000
Y: 0.500 0.500 0.000
Y: 0.500 0.500 0.500
Sc: 0.000 0.000 0.000
Sc: 0.000 0.000 0.500